(a)
# KTa2In2 GGA-PBE relaxed
# magnetic moment	0.00	μB per cell
# DOS(E_F)	0.924	states/eV/atom
data_KTa2In2
_symmetry_space_group_name_H-M 'P 4/m b m'
_symmetry_Int_Tables_number 127
_symmetry_space_group_name_Hall '-P 4 2ab'
_cell_length_a 9.0534
_cell_length_b 9.0534
_cell_length_c 2.9218
_cell_angle_alpha 90.00
_cell_angle_beta 90.00
_cell_angle_gamma 90.00
loop_
_atom_site_label
_atom_site_type_symbol
_atom_site_fract_x
_atom_site_fract_y
_atom_site_fract_z
_atom_site_occupancy
K1 K 0.0000 0.0000 0.0000 1
Ta1 Ta 0.1070 0.3930 0.5000 1
In1 In 0.1808 0.6808 0.0000 1


(b)
# KTa2In2 GGA-PBE relaxed
# magnetic moment	0.00	μB per cell
# DOS(E_F)	1.493	states/eV/atom
data_KTa2In2
_symmetry_space_group_name_H-M 'I 4/m m m'
_symmetry_Int_Tables_number 139
_symmetry_space_group_name_Hall '-I 4 2'
_cell_length_a 3.8635
_cell_length_b 3.8635
_cell_length_c 18.4144
_cell_angle_alpha 90.00
_cell_angle_beta 90.00
_cell_angle_gamma 90.00
loop_
_atom_site_label
_atom_site_type_symbol
_atom_site_fract_x
_atom_site_fract_y
_atom_site_fract_z
_atom_site_occupancy
K1 K 0.0000 0.0000 0.0000 1
Ta1 Ta 0.0000 0.5000 0.2500 1
In1 In 0.0000 0.0000 0.3761 1


Consider the structures shown above. The most stable of them is (a).